First-principles (PBE) data for a relaxed structure of Mn2SiOs, as listed in Alexandria via LeMat-Bulk.

extended XYZ file:
```
4
Lattice="4.506 -0.048 -0.047 3.606 2.702 -0.047 1.245 0.407 4.136" Properties=species:S:1:pos:R:3 pbc="T T T"
Mn 9.278 3.035 3.831
Mn 6.999 2.290 3.293
Os 4.702 1.538 1.780
Si 2.411 0.789 1.202
```

**Raw total energy**: -8.947 eV per atom
**V**: 51.24 Å³ per cell
**Formation energy without anion corrections**: -0.20 eV per atom

---

First-principles (PBE) data for a relaxed structure of Mn2SiOs, as listed in Alexandria via LeMat-Bulk.

extended XYZ file:
```
4
Lattice="4.814 -0.001 0.000 2.258 4.252 0.000 -3.092 -2.865 2.326" Properties=species:S:1:pos:R:3 pbc="T T T"
Mn 0.105 0.063 0.000
Mn 3.431 2.062 0.000
Os 2.629 -0.370 1.163
Si 1.351 1.756 1.163
```

**Raw total energy**: -8.931 eV per atom
**V**: 47.61 Å³ per cell
**Formation energy without anion corrections**: -0.18 eV per atom

---

First-principles (PBE) data for a relaxed structure of Mn2SiOs, as listed in Alexandria via LeMat-Bulk.

extended XYZ file:
```
4
Lattice="-0.752 -2.522 2.558 2.616 -0.525 0.252 2.989 2.986 3.822" Properties=species:S:1:pos:R:3 pbc="T T T"
Mn 2.985 2.956 3.791
Mn 2.806 1.261 2.068
Os 1.025 -0.646 2.298
Si 3.828 0.585 4.335
```

**Raw total energy**: -8.896 eV per atom
**V**: 49.39 Å³ per cell
**Formation energy without anion corrections**: -0.15 eV per atom

---

First-principles (PBE) data for a relaxed structure of Mn2SiOs, as listed in Alexandria via LeMat-Bulk.

extended XYZ file:
```
4
Lattice="-0.736 -3.936 1.202 2.608 -0.314 0.570 -0.733 1.397 4.124" Properties=species:S:1:pos:R:3 pbc="T T T"
Mn -0.388 1.321 4.088
Mn -0.232 -1.646 1.739
Os 1.281 0.469 2.321
Si 0.682 -1.059 4.220
```

**Raw total energy**: -8.913 eV per atom
**V**: 49.63 Å³ per cell
**Formation energy without anion corrections**: -0.17 eV per atom